Model A:
A geometry-optimized BaLa2Zn2 structure. Source: Alexandria via LeMat-Bulk, functional GGA-PBE.

a b c (Å): 6.883 6.883 6.883
angles (deg): 132.31 132.31 69.73
Fractional coordinates of all 5 atoms:
Ba  0.000  0.000  0.000
La  0.354  0.354  0.000
La  0.646  0.646  0.000
Zn  0.250  0.750  0.500
Zn  0.750  0.250  0.500

The space group is I4/mmm (139). Its crystal system is tetragonal. Its density is 5.2 g cm⁻³.

Model B:
A geometry-optimized BaLa2Zn2 structure. Source: Alexandria via LeMat-Bulk, functional GGA-PBE.

a b c (Å): 7.271 7.271 7.271
angles (deg): 138.89 138.89 59.54
Fractional coordinates of all 5 atoms:
Ba  0.000  0.000  0.000
La  0.250  0.750  0.500
La  0.750  0.250  0.500
Zn  0.401  0.401  0.000
Zn  0.599  0.599  0.000

The space group is I4/mmm (139). Its crystal system is tetragonal. Its density is 5.5 g cm⁻³.

Model C:
A geometry-optimized BaLa2Zn2 structure. Source: Alexandria via LeMat-Bulk, functional GGA-PBE.

a b c (Å): 9.105 9.105 3.661
angles (deg): 90.00 90.00 90.00
Fractional coordinates of all 10 atoms:
Ba  0.000  0.000  0.000
Ba  0.500  0.500  0.000
La  0.122  0.378  0.000
La  0.378  0.878  0.000
La  0.622  0.122  0.000
La  0.878  0.622  0.000
Zn  0.171  0.671  0.500
Zn  0.329  0.171  0.500
Zn  0.671  0.829  0.500
Zn  0.829  0.329  0.500

The space group is P4/mbm (127). Its crystal system is tetragonal. Its density is 6.0 g cm⁻³.

How do the energies compare? Relative to the most stable structure, in kJ/mol of atoms: model A 15.4; model B 4.5; model C 0.0.

Model A:
A geometry-optimized BaLaZn structure. Source: Alexandria via LeMat-Bulk, functional GGA-PBE.

a b c (Å): 5.478 5.478 5.478
angles (deg): 60.00 60.00 60.00
Fractional coordinates of all 3 atoms:
Ba  0.000  0.000  0.000
La  0.500  0.500  0.500
Zn  0.750  0.750  0.750

The space group is F-43m (216). Its crystal system is cubic. Its density is 4.9 g cm⁻³.

Model B:
A geometry-optimized BaLaZn structure. Source: Alexandria via LeMat-Bulk, functional GGA-PBE.

a b c (Å): 5.162 5.162 4.922
angles (deg): 90.00 90.00 120.00
Fractional coordinates of all 3 atoms:
Ba  0.000  0.000  0.000
La  0.667  0.333  0.500
Zn  0.333  0.667  0.500

The space group is P-6m2 (187). Its crystal system is hexagonal. Its density is 5.0 g cm⁻³.

Model C:
A geometry-optimized BaLaZn structure. Source: Alexandria via LeMat-Bulk, functional GGA-PBE.

a b c (Å): 7.544 7.544 7.544
angles (deg): 149.59 149.59 43.55
Fractional coordinates of all 3 atoms:
Ba  0.000  0.000  0.000
La  0.735  0.735  0.000
Zn  0.341  0.341  0.000

The space group is I4mm (107). Its crystal system is tetragonal. Its density is 5.2 g cm⁻³.

How do the energies compare? Relative to the most stable structure, in kJ/mol of atoms: model A 24.4; model B 15.7; model C 0.0.

Model A:
A geometry-optimized BaLaZn4 structure. Source: Alexandria via LeMat-Bulk, functional GGA-PBE.

a b c (Å): 3.882 4.678 8.410
angles (deg): 90.00 90.00 90.00
Fractional coordinates of all 6 atoms:
Ba  0.000  0.000  0.000
La  0.000  0.500  0.500
Zn  0.500  0.000  0.345
Zn  0.500  0.000  0.655
Zn  0.500  0.500  0.187
Zn  0.500  0.500  0.813

The space group is Pmmm (47). Its crystal system is orthorhombic. Its density is 5.8 g cm⁻³.

Model B:
A geometry-optimized BaLaZn4 structure. Source: Alexandria via LeMat-Bulk, functional GGA-PBE.

a b c (Å): 5.835 5.835 5.835
angles (deg): 60.00 60.00 60.00
Fractional coordinates of all 6 atoms:
Ba  0.000  0.000  0.000
La  0.750  0.750  0.750
Zn  0.377  0.377  0.377
Zn  0.377  0.377  0.868
Zn  0.377  0.868  0.377
Zn  0.868  0.377  0.377

The space group is F-43m (216). Its crystal system is cubic. Its density is 6.4 g cm⁻³.

How do the energies compare? Relative to the most stable structure, in kJ/mol of atoms: model A 0.0; model B 6.4.

Model A:
A geometry-optimized Ba2LaZr structure. Source: Alexandria via LeMat-Bulk, functional GGA-PBE.

a b c (Å): 3.654 6.122 7.257
angles (deg): 90.00 103.26 90.00
Fractional coordinates of all 4 atoms:
Ba  0.078  0.000  0.262
Ba  0.922  0.000  0.738
La  0.500  0.500  0.000
Zr  0.500  0.500  0.500

The space group is P2/m (10). Its crystal system is monoclinic. Its density is 5.3 g cm⁻³.

Model B:
A geometry-optimized Ba2LaZr structure. Source: Alexandria via LeMat-Bulk, functional GGA-PBE.

a b c (Å): 6.090 6.090 6.090
angles (deg): 60.00 60.00 60.00
Fractional coordinates of all 4 atoms:
Ba  0.000  0.000  0.000
Ba  0.250  0.250  0.250
La  0.500  0.500  0.500
Zr  0.750  0.750  0.750

The space group is F-43m (216). Its crystal system is cubic. Its density is 5.2 g cm⁻³.

How do the energies compare? Relative to the most stable structure, in kJ/mol of atoms: model A 2.6; model B 0.0.

Model A:
A geometry-optimized Ba2LaZr structure. Source: Alexandria via LeMat-Bulk, functional GGA-PBE.

a b c (Å): 7.708 7.708 7.708
angles (deg): 151.24 133.97 55.18
Fractional coordinates of all 4 atoms:
Ba  0.215  0.215  0.000
Ba  0.785  0.785  0.000
La  0.500  0.000  0.500
Zr  0.000  0.500  0.500

The space group is Immm (71). Its crystal system is orthorhombic. Its density is 5.3 g cm⁻³.

Model B:
A geometry-optimized Ba2LaZr structure. Source: Alexandria via LeMat-Bulk, functional GGA-PBE.

a b c (Å): 3.891 4.448 9.928
angles (deg): 90.00 90.00 90.00
Fractional coordinates of all 4 atoms:
Ba  0.000  0.000  0.000
Ba  0.500  0.500  0.347
La  0.000  0.000  0.619
Zr  0.500  0.500  0.761

The space group is Pmm2 (25). Its crystal system is orthorhombic. Its density is 4.9 g cm⁻³.

Model C:
A geometry-optimized Ba2LaZr structure. Source: Alexandria via LeMat-Bulk, functional GGA-PBE.

a b c (Å): 7.698 7.698 7.698
angles (deg): 101.90 101.90 125.99
Fractional coordinates of all 8 atoms:
Ba  0.108  0.625  0.983
Ba  0.375  0.358  0.483
Ba  0.642  0.125  0.017
Ba  0.875  0.892  0.517
La  0.250  0.750  0.500
La  0.500  0.500  0.000
Zr  0.000  0.000  0.000
Zr  0.750  0.250  0.500

The space group is I-42d (122). Its crystal system is tetragonal. Its density is 5.1 g cm⁻³.

Model D:
A geometry-optimized Ba2LaZr structure. Source: Alexandria via LeMat-Bulk, functional GGA-PBE.

a b c (Å): 6.402 6.402 6.402
angles (deg): 128.51 128.51 75.81
Fractional coordinates of all 4 atoms:
Ba  0.000  0.000  0.000
Ba  0.750  0.250  0.500
La  0.250  0.750  0.500
Zr  0.500  0.500  0.000

The space group is I-4m2 (119). Its crystal system is tetragonal. Its density is 5.4 g cm⁻³.

How do the energies compare? Relative to the most stable structure, in kJ/mol of atoms: model A 16.8; model B 0.0; model C 43.3; model D 19.0.

Model A:
A geometry-optimized BaLa2Zr structure. Source: Alexandria via LeMat-Bulk, functional GGA-PBE.

a b c (Å): 5.241 5.241 5.093
angles (deg): 90.00 90.00 90.00
Fractional coordinates of all 4 atoms:
Ba  0.000  0.000  0.000
La  0.000  0.500  0.500
La  0.500  0.000  0.500
Zr  0.500  0.500  0.000

The space group is P4/mmm (123). Its crystal system is tetragonal. Its density is 6.0 g cm⁻³.

Model B:
A geometry-optimized BaLa2Zr structure. Source: Alexandria via LeMat-Bulk, functional GGA-PBE.

a b c (Å): 6.352 6.352 6.352
angles (deg): 131.70 131.70 70.70
Fractional coordinates of all 4 atoms:
Ba  0.000  0.000  0.000
La  0.250  0.750  0.500
La  0.500  0.500  0.000
Zr  0.750  0.250  0.500

The space group is I-4m2 (119). Its crystal system is tetragonal. Its density is 6.0 g cm⁻³.

Model C:
A geometry-optimized BaLa2Zr structure. Source: Alexandria via LeMat-Bulk, functional GGA-PBE.

a b c (Å): 5.984 5.984 7.071
angles (deg): 96.80 96.80 34.88
Fractional coordinates of all 4 atoms:
Ba  0.000  0.000  0.000
La  0.238  0.238  0.705
La  0.762  0.762  0.295
Zr  0.500  0.500  0.500

The space group is C2/m (12). Its crystal system is monoclinic. Its density is 5.9 g cm⁻³.

Model D:
A geometry-optimized BaLa2Zr structure. Source: Alexandria via LeMat-Bulk, functional GGA-PBE.

a b c (Å): 6.273 6.273 6.657
angles (deg): 98.26 98.26 33.30
Fractional coordinates of all 4 atoms:
Ba  0.000  0.000  0.000
La  0.235  0.235  0.708
La  0.483  0.483  0.474
Zr  0.752  0.752  0.276

The space group is Cm (8). Its crystal system is monoclinic. Its density is 5.9 g cm⁻³.

How do the energies compare? Relative to the most stable structure, in kJ/mol of atoms: model A 7.1; model B 7.6; model C 0.0; model D 2.9.

Model A:
A geometry-optimized BaLa2Zr structure. Source: Alexandria via LeMat-Bulk, functional GGA-PBE.

a b c (Å): 5.882 5.882 5.882
angles (deg): 60.00 60.00 60.00
Fractional coordinates of all 4 atoms:
Ba  0.000  0.000  0.000
La  0.250  0.250  0.250
La  0.750  0.750  0.750
Zr  0.500  0.500  0.500

The space group is Fm-3m (225). Its crystal system is cubic. Its density is 5.8 g cm⁻³.

Model B:
A geometry-optimized BaLa2Zr structure. Source: Alexandria via LeMat-Bulk, functional GGA-PBE.

a b c (Å): 12.470 12.470 12.470
angles (deg): 16.93 16.93 16.93
Fractional coordinates of all 4 atoms:
Ba  0.000  0.000  0.000
La  0.238  0.238  0.238
La  0.762  0.762  0.762
Zr  0.500  0.500  0.500

The space group is R-3m (166). Its crystal system is trigonal. Its density is 5.9 g cm⁻³.

Model C:
A geometry-optimized BaLa2Zr structure. Source: Alexandria via LeMat-Bulk, functional GGA-PBE.

a b c (Å): 4.167 4.167 8.656
angles (deg): 90.00 90.00 90.00
Fractional coordinates of all 4 atoms:
Ba  0.000  0.000  0.000
La  0.000  0.000  0.578
La  0.500  0.500  0.335
Zr  0.500  0.500  0.724

The space group is P4mm (99). Its crystal system is tetragonal. Its density is 5.6 g cm⁻³.

How do the energies compare? Relative to the most stable structure, in kJ/mol of atoms: model A 14.4; model B 0.0; model C 6.8.

Model A:
A geometry-optimized BaLa2Zr structure. Source: Alexandria via LeMat-Bulk, functional GGA-PBE.

a b c (Å): 3.625 3.625 10.891
angles (deg): 90.00 90.00 90.00
Fractional coordinates of all 4 atoms:
Ba  0.000  0.000  0.000
La  0.000  0.000  0.544
La  0.500  0.500  0.307
Zr  0.500  0.500  0.744

The space group is P4mm (99). Its crystal system is tetragonal. Its density is 5.9 g cm⁻³.

Model B:
A geometry-optimized BaLa2Zr structure. Source: Alexandria via LeMat-Bulk, functional GGA-PBE.

a b c (Å): 3.661 3.661 10.954
angles (deg): 90.00 90.07 90.00
Fractional coordinates of all 4 atoms:
Ba  0.000  0.000  0.000
La  0.500  0.500  0.298
La  0.500  0.500  0.702
Zr  0.000  0.000  0.500

The space group is P2/m (10). Its crystal system is monoclinic. Its density is 5.7 g cm⁻³.

Model C:
A geometry-optimized BaLa2Zr structure. Source: Alexandria via LeMat-Bulk, functional GGA-PBE.

a b c (Å): 6.216 6.216 6.216
angles (deg): 129.43 129.43 74.32
Fractional coordinates of all 4 atoms:
Ba  0.000  0.000  0.000
La  0.250  0.750  0.500
La  0.750  0.250  0.500
Zr  0.500  0.500  0.000

The space group is I4/mmm (139). Its crystal system is tetragonal. Its density is 6.0 g cm⁻³.

How do the energies compare? Relative to the most stable structure, in kJ/mol of atoms: model A 9.7; model B 0.0; model C 18.5.

Model A:
A geometry-optimized Ba2LaZr2 structure. Source: Alexandria via LeMat-Bulk, functional GGA-PBE.

a b c (Å): 10.077 10.077 3.448
angles (deg): 90.00 90.00 90.00
Fractional coordinates of all 10 atoms:
Ba  0.191  0.309  0.000
Ba  0.309  0.809  0.000
Ba  0.691  0.191  0.000
Ba  0.809  0.691  0.000
La  0.000  0.000  0.000
La  0.500  0.500  0.000
Zr  0.104  0.604  0.500
Zr  0.396  0.104  0.500
Zr  0.604  0.896  0.500
Zr  0.896  0.396  0.500

The space group is P4/mbm (127). Its crystal system is tetragonal. Its density is 5.7 g cm⁻³.

Model B:
A geometry-optimized Ba2LaZr2 structure. Source: Alexandria via LeMat-Bulk, functional GGA-PBE.

a b c (Å): 13.178 13.178 13.178
angles (deg): 162.54 162.54 24.78
Fractional coordinates of all 5 atoms:
Ba  0.120  0.120  0.000
Ba  0.880  0.880  0.000
La  0.500  0.500  0.000
Zr  0.250  0.750  0.500
Zr  0.750  0.250  0.500

The space group is I4/mmm (139). Its crystal system is tetragonal. Its density is 4.8 g cm⁻³.

How do the energies compare? Relative to the most stable structure, in kJ/mol of atoms: model A 10.7; model B 0.0.

Model A:
A geometry-optimized BaLa3Zr structure. Source: Alexandria via LeMat-Bulk, functional GGA-PBE.

a b c (Å): 5.869 5.869 5.869
angles (deg): 90.00 90.00 90.00
Fractional coordinates of all 5 atoms:
Ba  0.000  0.000  0.000
La  0.000  0.000  0.500
La  0.000  0.500  0.000
La  0.500  0.000  0.000
Zr  0.500  0.500  0.500

The space group is Pm-3m (221). Its crystal system is cubic. Its density is 5.3 g cm⁻³.

Model B:
A geometry-optimized BaLa3Zr structure. Source: Alexandria via LeMat-Bulk, functional GGA-PBE.

a b c (Å): 5.965 5.965 5.965
angles (deg): 90.00 90.00 90.00
Fractional coordinates of all 5 atoms:
Ba  0.000  0.000  0.000
La  0.000  0.500  0.500
La  0.500  0.000  0.500
La  0.500  0.500  0.000
Zr  0.500  0.500  0.500

The space group is Pm-3m (221). Its crystal system is cubic. Its density is 5.0 g cm⁻³.

How do the energies compare? Relative to the most stable structure, in kJ/mol of atoms: model A 77.6; model B 0.0.